(1)
# ReSiB, relaxed, DFT PBE
# E_form (uncorrected), eV per atom: 0.049
# Final energy, Ry per atom: -0.5978
# Theoretical density, g/cm3: 10.012
data_ReSiB
_cell_length_a 4.395
_cell_length_b 3.069
_cell_length_c 5.642
_cell_angle_alpha 90.00
_cell_angle_beta 101.06
_cell_angle_gamma 90.00
_space_group_name_H-M_alt 'P 1 21/m 1'
_space_group_IT_number 11
_space_group_name_Hall '-P 2yb'
loop_
_atom_site_label
_atom_site_type_symbol
_atom_site_fract_x
_atom_site_fract_y
_atom_site_fract_z
_atom_site_occupancy
Re1 Re 0.244 0.250 0.430 1
Si1 Si 0.283 0.750 0.826 1
B1 B 0.364 0.750 0.192 1

---

(2)
# Re2SiB, relaxed, DFT PBE
# E_form (uncorrected), eV per atom: 0.697
# Final energy, Ry per atom: -0.6286
# Theoretical density, g/cm3: 11.593
# Distance to the lowest polymorph of the same formula, meV per atom: 463.1
data_Re2SiB
_cell_length_a 3.871
_cell_length_b 3.871
_cell_length_c 15.722
_cell_angle_alpha 90.00
_cell_angle_beta 90.00
_cell_angle_gamma 90.00
_space_group_name_H-M_alt 'I -4 2 d'
_space_group_IT_number 122
_space_group_name_Hall 'I -4 2bw'
loop_
_atom_site_label
_atom_site_type_symbol
_atom_site_fract_x
_atom_site_fract_y
_atom_site_fract_z
_atom_site_occupancy
Re1 Re 0.186 0.250 0.125 1
Si1 Si 0.000 0.000 0.500 1
B1 B 0.000 0.000 0.000 1

---

(3)
# Re2SiB, relaxed, DFT PBE
# E_form (uncorrected), eV per atom: 0.234
# Final energy, Ry per atom: -0.6626
# Theoretical density, g/cm3: 14.135
# Distance to the lowest polymorph of the same formula, meV per atom: 0.0
data_Re2SiB
_cell_length_a 5.782
_cell_length_b 5.782
_cell_length_c 5.782
_cell_angle_alpha 90.00
_cell_angle_beta 90.00
_cell_angle_gamma 90.00
_space_group_name_H-M_alt 'F m -3 m'
_space_group_IT_number 225
_space_group_name_Hall '-F 4 2 3'
loop_
_atom_site_label
_atom_site_type_symbol
_atom_site_fract_x
_atom_site_fract_y
_atom_site_fract_z
_atom_site_occupancy
Re1 Re 0.250 0.250 0.250 1
Si1 Si 0.000 0.000 0.000 1
B1 B 0.000 0.000 0.500 1

---

(4)
# ReSi3B, relaxed, DFT PBE
# E_form (uncorrected), eV per atom: 0.973
# Final energy, Ry per atom: -0.4488
# Theoretical density, g/cm3: 7.139
# Distance to the lowest polymorph of the same formula, meV per atom: 0.0
data_ReSi3B
_cell_length_a 4.029
_cell_length_b 4.029
_cell_length_c 4.029
_cell_angle_alpha 90.00
_cell_angle_beta 90.00
_cell_angle_gamma 90.00
_space_group_name_H-M_alt 'P m -3 m'
_space_group_IT_number 221
_space_group_name_Hall '-P 4 2 3'
loop_
_atom_site_label
_atom_site_type_symbol
_atom_site_fract_x
_atom_site_fract_y
_atom_site_fract_z
_atom_site_occupancy
Re1 Re 0.000 0.000 0.000 1
Si1 Si 0.000 0.500 0.500 1
B1 B 0.500 0.500 0.500 1

---

(5)
# Tm2Re2Si2B, relaxed, DFT PBE
# E_form (uncorrected), eV per atom: -0.614
# Final energy, Ry per atom: -0.5844
# Theoretical density, g/cm3: 10.743
data_Tm2Re2Si2B
_cell_length_a 10.802
_cell_length_b 4.024
_cell_length_c 6.835
_cell_angle_alpha 90.00
_cell_angle_beta 126.03
_cell_angle_gamma 90.00
_space_group_name_H-M_alt 'C 1 2/m 1'
_space_group_IT_number 12
_space_group_name_Hall '-C 2y'
loop_
_atom_site_label
_atom_site_type_symbol
_atom_site_fract_x
_atom_site_fract_y
_atom_site_fract_z
_atom_site_occupancy
Tm1 Tm 0.077 0.000 0.304 1
Re1 Re 0.217 0.500 0.095 1
Si1 Si 0.137 0.500 0.671 1
B1 B 0.000 0.500 0.000 1

---

(6)
# Y2Re2Si2B, relaxed, DFT PBE
# E_form (uncorrected), eV per atom: -0.620
# Final energy, Ry per atom: -0.6267
# Theoretical density, g/cm3: 8.308
data_Y2Re2Si2B
_cell_length_a 10.874
_cell_length_b 4.050
_cell_length_c 6.941
_cell_angle_alpha 90.00
_cell_angle_beta 126.18
_cell_angle_gamma 90.00
_space_group_name_H-M_alt 'C 1 2/m 1'
_space_group_IT_number 12
_space_group_name_Hall '-C 2y'
loop_
_atom_site_label
_atom_site_type_symbol
_atom_site_fract_x
_atom_site_fract_y
_atom_site_fract_z
_atom_site_occupancy
Y1 Y 0.076 0.000 0.305 1
Re1 Re 0.216 0.500 0.092 1
Si1 Si 0.138 0.500 0.674 1
B1 B 0.000 0.500 0.000 1

---

(7)
# SmRe2B6, relaxed, DFT PBE
# DFT formation energy, meV/atom: -390
# Final energy, Ry per atom: -0.5977
# Theoretical density, g/cm3: 10.498
data_SmRe2B6
_cell_length_a 3.157
_cell_length_b 6.820
_cell_length_c 8.635
_cell_angle_alpha 90.00
_cell_angle_beta 90.00
_cell_angle_gamma 90.00
_space_group_name_H-M_alt 'I m m m'
_space_group_IT_number 71
_space_group_name_Hall '-I 2 2'
loop_
_atom_site_label
_atom_site_type_symbol
_atom_site_fract_x
_atom_site_fract_y
_atom_site_fract_z
_atom_site_occupancy
Sm1 Sm 0.000 0.000 0.000 1
Re1 Re 0.000 0.500 0.160 1
B1 B 0.000 0.157 0.500 1
B2 B 0.000 0.244 0.310 1

---

(8)
# Sm3Re2B9, relaxed, DFT PBE
# DFT formation energy, meV/atom: -211
# Final energy, Ry per atom: -0.5361
# Theoretical density, g/cm3: 8.555
data_Sm3Re2B9
_cell_length_a 3.135
_cell_length_b 8.414
_cell_length_c 13.551
_cell_angle_alpha 90.00
_cell_angle_beta 90.00
_cell_angle_gamma 90.00
_space_group_name_H-M_alt 'I m m m'
_space_group_IT_number 71
_space_group_name_Hall '-I 2 2'
loop_
_atom_site_label
_atom_site_type_symbol
_atom_site_fract_x
_atom_site_fract_y
_atom_site_fract_z
_atom_site_occupancy
Sm1 Sm 0.000 0.000 0.000 1
Sm2 Sm 0.000 0.000 0.264 1
Re1 Re 0.000 0.170 0.500 1
B1 B 0.000 0.253 0.123 1
B2 B 0.000 0.310 0.364 1
B3 B 0.000 0.500 0.000 1